1.
DFT (PBE) results for a relaxed structure of HfClO2.

The space group is I-42d (No. 122) and the conventional cell measures 6.3532, 6.3532 and 8.9918 Å, with angles of 90.00, 90.00 and 90.00 degrees. Symmetry generates all atoms from Hf at (0.0000, 0.0000, 0.0000), Cl at (0.0000, 0.0000, 0.5000) and O at (0.0025, 0.2500, 0.1250).

The value obtained for the total magnetization is 4.00 μB/cell. For the density of states at the Fermi level, the calculation gives 22.68 states/eV/cell.

2.
DFT (PBE) results for a relaxed structure of HfClO2.

The space group is R-3m (No. 166, hexagonal axes) and the conventional cell measures 3.1949, 3.1949 and 24.8946 Å, with angles of 90.00, 90.00 and 120.00 degrees. Symmetry generates all atoms from Hf at (0.0000, 0.0000, 0.0000), Cl at (0.0000, 0.0000, 0.5000) and O at (0.0000, 0.0000, 0.3726).

The value obtained for the total magnetization is 2.99 μB/cell. For the density of states at the Fermi level, the calculation gives 9.75 states/eV/cell.

3.
DFT (PBE) results for a relaxed structure of HfClO2.

The space group is Fm-3m (No. 225) and the conventional cell measures 5.6818, 5.6818 and 5.6818 Å, with angles of 90.00, 90.00 and 90.00 degrees. Symmetry generates all atoms from Hf at (0.0000, 0.0000, 0.0000), Cl at (0.0000, 0.0000, 0.5000) and O at (0.2500, 0.2500, 0.2500).

The value obtained for the total magnetization is 0.00 μB/cell. For the density of states at the Fermi level, the calculation gives 22.42 states/eV/cell.

Which DFT total energy belongs to each record? In order, -7.622; -7.672; -6.586 eV per atom.